1.
Here is a crystal of NaLi2Ag2 relaxed with PBEsol from Alexandria via LeMat-Bulk. Energies are from SCAN.

The structure belongs to space group P4/mbm (No. 127); the cell edges are 7.837, 7.837 and 2.981 Å and the angles 90.00°, 90.00° and 90.00°. The distinct sites, in fractional coordinates, are Na at (0.000, 0.000, 0.000), Li at (0.160, 0.340, 0.500) and Ag at (0.130, 0.630, 0.000).

The formation energy comes out at -0.108 eV per atom. As for the total energy: -14.454 eV/atom.

2.
Here is a crystal of TlTcP2 relaxed with PBEsol from Alexandria via LeMat-Bulk. Energies are from SCAN.

The structure belongs to space group R3m (No. 160, hexagonal axes); the cell edges are 3.1388, 3.1388 and 23.1110 Å and the angles 90.00°, 90.00° and 120.00°. The distinct sites, in fractional coordinates, are Tl at (0.0000, 0.0000, 0.0000), Tc at (0.0000, 0.0000, 0.7656), P at (0.0000, 0.0000, 0.2322) and P at (0.0000, 0.0000, 0.4984).

The formation energy comes out at 0.376 eV per atom. As for the total energy: -31.678 eV/atom. The energy above the most stable polymorph in this dataset comes out at 1.410 eV/f.u.

3.
Here is a crystal of Ca2YCu relaxed with PBEsol from Alexandria via LeMat-Bulk. Energies are from SCAN.

The structure belongs to space group Cm (No. 8); the cell edges are 12.743, 3.585 and 5.588 Å and the angles 90.00°, 115.99° and 90.00°. The distinct sites, in fractional coordinates, are Ca at (0.000, 0.000, 0.000), Ca at (0.194, 0.000, 0.694), Y at (0.386, 0.000, 0.386) and Cu at (0.203, 0.500, 0.202).

The formation energy comes out at 0.051 eV per atom. As for the total energy: -15.541 eV/atom. The energy above the most stable polymorph in this dataset comes out at 0.464 eV/f.u.

4.
Here is a crystal of MnZn2Au relaxed with PBEsol from Alexandria via LeMat-Bulk. Energies are from SCAN.

The structure belongs to space group P4mm (No. 99); the cell edges are 3.138, 3.138 and 5.902 Å and the angles 90.00°, 90.00° and 90.00°. The distinct sites, in fractional coordinates, are Mn at (0.000, 0.000, 0.000), Zn at (0.000, 0.000, 0.479), Zn at (0.500, 0.500, 0.234) and Au at (0.500, 0.500, 0.739).

The formation energy comes out at -0.232 eV per atom. As for the total energy: -28.843 eV/atom.

What is the formula in the second record? TlTcP2